(P)
Below is a relaxed CoAgAu crystal, with properties calculated at the PBE level.

Geometry as CIF:
```
data_CoAgAu
_space_group_name_H-M_alt 'I m m 2'
_space_group_IT_number 44
_cell_length_a 2.7844
_cell_length_b 3.9130
_cell_length_c 8.7110
_cell_angle_alpha 90.00
_cell_angle_beta 90.00
_cell_angle_gamma 90.00
loop_
_space_group_symop_operation_xyz
'x,y,z'
'-x,-y,z'
'-x,y,z'
'x,-y,z'
'x+1/2,y+1/2,z+1/2'
'-x+1/2,-y+1/2,z+1/2'
'-x+1/2,y+1/2,z+1/2'
'x+1/2,-y+1/2,z+1/2'
loop_
_atom_site_label
_atom_site_type_symbol
_atom_site_fract_x
_atom_site_fract_y
_atom_site_fract_z
Co1 Co 0.0000 0.0000 0.0000
Ag1 Ag 0.0000 0.0000 0.3342
Au1 Au 0.0000 0.0000 0.6544
```

---

(Q)
Below is a relaxed CoAgAu crystal, with properties calculated at the PBE level.

Geometry as CIF:
```
data_CoAgAu
_space_group_name_H-M_alt 'P 3 m 1'
_space_group_IT_number 156
_cell_length_a 2.8250
_cell_length_b 2.8250
_cell_length_c 6.8805
_cell_angle_alpha 90.00
_cell_angle_beta 90.00
_cell_angle_gamma 120.00
loop_
_space_group_symop_operation_xyz
'x,y,z'
'-y,x-y,z'
'-x+y,-x,z'
'-y,-x,z'
'-x+y,y,z'
'x,x-y,z'
loop_
_atom_site_label
_atom_site_type_symbol
_atom_site_fract_x
_atom_site_fract_y
_atom_site_fract_z
Co1 Co 0.0000 0.0000 0.0000
Ag1 Ag 0.3333 0.6667 0.3192
Au1 Au 0.6667 0.3333 0.6845
```

---

(R)
Below is a relaxed CoAgAu crystal, with properties calculated at the PBE level.

Geometry as CIF:
```
data_CoAgAu
_space_group_name_H-M_alt 'I 4 m m'
_space_group_IT_number 107
_space_group_name_Hall 'I 4 -2'
_cell_length_a 2.8180
_cell_length_b 2.8180
_cell_length_c 11.9137
_cell_angle_alpha 90.00
_cell_angle_beta 90.00
_cell_angle_gamma 90.00
loop_
_atom_site_label
_atom_site_type_symbol
_atom_site_fract_x
_atom_site_fract_y
_atom_site_fract_z
Co1 Co 0.0000 0.0000 0.0000
Ag1 Ag 0.0000 0.0000 0.6594
Au1 Au 0.0000 0.0000 0.3465
```

---

Name the least stable of them. (P).

---

(P)
Below is a relaxed CoAgAu crystal, with properties calculated at the PBE level.

Geometry as CIF:
```
data_CoAgAu
_space_group_name_H-M_alt 'F -4 3 m'
_space_group_IT_number 216
_space_group_name_Hall 'F -4 2 3'
_cell_length_a 6.0135
_cell_length_b 6.0135
_cell_length_c 6.0135
_cell_angle_alpha 90.00
_cell_angle_beta 90.00
_cell_angle_gamma 90.00
loop_
_atom_site_label
_atom_site_type_symbol
_atom_site_fract_x
_atom_site_fract_y
_atom_site_fract_z
Co1 Co 0.0000 0.0000 0.0000
Ag1 Ag 0.2500 0.2500 0.7500
Au1 Au 0.2500 0.2500 0.2500
```

---

(Q)
Below is a relaxed CoAgAu crystal, with properties calculated at the PBE level.

Geometry as CIF:
```
data_CoAgAu
_space_group_name_H-M_alt 'C 1 2/m 1'
_space_group_IT_number 12
_cell_length_a 9.0397
_cell_length_b 3.9231
_cell_length_c 5.7312
_cell_angle_alpha 90.00
_cell_angle_beta 108.78
_cell_angle_gamma 90.00
loop_
_space_group_symop_operation_xyz
'x,y,z'
'-x,-y,-z'
'-x,y,-z'
'x,-y,z'
'x+1/2,y+1/2,z'
'-x+1/2,-y+1/2,-z'
'-x+1/2,y+1/2,-z'
'x+1/2,-y+1/2,z'
loop_
_atom_site_label
_atom_site_type_symbol
_atom_site_fract_x
_atom_site_fract_y
_atom_site_fract_z
Co1 Co 0.0036 0.0000 0.2936
Ag1 Ag 0.1581 0.5000 0.0762
Au1 Au 0.1671 0.5000 0.5882
```

---

Name the least stable of them. (P).

---

(P)
Below is a relaxed Co3AgAu crystal, with properties calculated at the PBE level.

Geometry as CIF:
```
data_Co3AgAu
_space_group_name_H-M_alt 'P m -3 m'
_space_group_IT_number 221
_space_group_name_Hall '-P 4 2 3'
_cell_length_a 4.6138
_cell_length_b 4.6138
_cell_length_c 4.6138
_cell_angle_alpha 90.00
_cell_angle_beta 90.00
_cell_angle_gamma 90.00
loop_
_atom_site_label
_atom_site_type_symbol
_atom_site_fract_x
_atom_site_fract_y
_atom_site_fract_z
Co1 Co 0.0000 0.0000 0.5000
Ag1 Ag 0.0000 0.0000 0.0000
Au1 Au 0.5000 0.5000 0.5000
```

---

(Q)
Below is a relaxed Co3AgAu crystal, with properties calculated at the PBE level.

Geometry as CIF:
```
data_Co3AgAu
_space_group_name_H-M_alt 'P m -3 m'
_space_group_IT_number 221
_space_group_name_Hall '-P 4 2 3'
_cell_length_a 4.6898
_cell_length_b 4.6898
_cell_length_c 4.6898
_cell_angle_alpha 90.00
_cell_angle_beta 90.00
_cell_angle_gamma 90.00
loop_
_atom_site_label
_atom_site_type_symbol
_atom_site_fract_x
_atom_site_fract_y
_atom_site_fract_z
Co1 Co 0.0000 0.0000 0.5000
Ag1 Ag 0.5000 0.5000 0.5000
Au1 Au 0.0000 0.0000 0.0000
```

---

Name the least stable of them. (P).

---

(P)
Below is a relaxed CrAgAu3 crystal, with properties calculated at the PBE level.

Geometry as CIF:
```
data_CrAgAu3
_space_group_name_H-M_alt 'P m -3 m'
_space_group_IT_number 221
_space_group_name_Hall '-P 4 2 3'
_cell_length_a 4.8283
_cell_length_b 4.8283
_cell_length_c 4.8283
_cell_angle_alpha 90.00
_cell_angle_beta 90.00
_cell_angle_gamma 90.00
loop_
_atom_site_label
_atom_site_type_symbol
_atom_site_fract_x
_atom_site_fract_y
_atom_site_fract_z
Cr1 Cr 0.0000 0.0000 0.0000
Ag1 Ag 0.5000 0.5000 0.5000
Au1 Au 0.0000 0.0000 0.5000
```

---

(Q)
Below is a relaxed CrAgAu3 crystal, with properties calculated at the PBE level.

Geometry as CIF:
```
data_CrAgAu3
_space_group_name_H-M_alt 'P m -3 m'
_space_group_IT_number 221
_space_group_name_Hall '-P 4 2 3'
_cell_length_a 5.0640
_cell_length_b 5.0640
_cell_length_c 5.0640
_cell_angle_alpha 90.00
_cell_angle_beta 90.00
_cell_angle_gamma 90.00
loop_
_atom_site_label
_atom_site_type_symbol
_atom_site_fract_x
_atom_site_fract_y
_atom_site_fract_z
Cr1 Cr 0.0000 0.0000 0.0000
Ag1 Ag 0.5000 0.5000 0.5000
Au1 Au 0.0000 0.5000 0.5000
```

---

Name the least stable of them. (P).

---

(P)
Below is a relaxed CrAgAu crystal, with properties calculated at the PBE level.

Geometry as CIF:
```
data_CrAgAu
_space_group_name_H-M_alt 'F -4 3 m'
_space_group_IT_number 216
_space_group_name_Hall 'F -4 2 3'
_cell_length_a 6.3362
_cell_length_b 6.3362
_cell_length_c 6.3362
_cell_angle_alpha 90.00
_cell_angle_beta 90.00
_cell_angle_gamma 90.00
loop_
_atom_site_label
_atom_site_type_symbol
_atom_site_fract_x
_atom_site_fract_y
_atom_site_fract_z
Cr1 Cr 0.0000 0.0000 0.0000
Ag1 Ag 0.0000 0.0000 0.5000
Au1 Au 0.2500 0.2500 0.7500
```

---

(Q)
Below is a relaxed CrAgAu crystal, with properties calculated at the PBE level.

Geometry as CIF:
```
data_CrAgAu
_space_group_name_H-M_alt 'P 3 m 1'
_space_group_IT_number 156
_cell_length_a 4.5839
_cell_length_b 4.5839
_cell_length_c 2.8875
_cell_angle_alpha 90.00
_cell_angle_beta 90.00
_cell_angle_gamma 120.00
loop_
_space_group_symop_operation_xyz
'x,y,z'
'-y,x-y,z'
'-x+y,-x,z'
'-y,-x,z'
'-x+y,y,z'
'x,x-y,z'
loop_
_atom_site_label
_atom_site_type_symbol
_atom_site_fract_x
_atom_site_fract_y
_atom_site_fract_z
Cr1 Cr 0.0000 0.0000 0.0000
Ag1 Ag 0.6667 0.3333 0.3283
Au1 Au 0.3333 0.6667 0.6817
```

---

(R)
Below is a relaxed CrAgAu crystal, with properties calculated at the PBE level.

Geometry as CIF:
```
data_CrAgAu
_space_group_name_H-M_alt 'I 4 m m'
_space_group_IT_number 107
_space_group_name_Hall 'I 4 -2'
_cell_length_a 2.9975
_cell_length_b 2.9975
_cell_length_c 11.6306
_cell_angle_alpha 90.00
_cell_angle_beta 90.00
_cell_angle_gamma 90.00
loop_
_atom_site_label
_atom_site_type_symbol
_atom_site_fract_x
_atom_site_fract_y
_atom_site_fract_z
Cr1 Cr 0.0000 0.0000 0.0000
Ag1 Ag 0.0000 0.0000 0.6655
Au1 Au 0.0000 0.0000 0.3447
```

---

(S)
Below is a relaxed CrAgAu crystal, with properties calculated at the PBE level.

Geometry as CIF:
```
data_CrAgAu
_space_group_name_H-M_alt 'I m m 2'
_space_group_IT_number 44
_cell_length_a 3.1440
_cell_length_b 3.7478
_cell_length_c 8.8312
_cell_angle_alpha 90.00
_cell_angle_beta 90.00
_cell_angle_gamma 90.00
loop_
_space_group_symop_operation_xyz
'x,y,z'
'-x,-y,z'
'-x,y,z'
'x,-y,z'
'x+1/2,y+1/2,z+1/2'
'-x+1/2,-y+1/2,z+1/2'
'-x+1/2,y+1/2,z+1/2'
'x+1/2,-y+1/2,z+1/2'
loop_
_atom_site_label
_atom_site_type_symbol
_atom_site_fract_x
_atom_site_fract_y
_atom_site_fract_z
Cr1 Cr 0.0000 0.0000 0.0000
Ag1 Ag 0.0000 0.0000 0.6680
Au1 Au 0.0000 0.0000 0.3427
```

---

Name the least stable of them. (P).

---

(P)
Below is a relaxed CrAg2Au2 crystal, with properties calculated at the PBE level.

Geometry as CIF:
```
data_CrAg2Au2
_space_group_name_H-M_alt 'P 4/m b m'
_space_group_IT_number 127
_space_group_name_Hall '-P 4 2ab'
_cell_length_a 8.0546
_cell_length_b 8.0546
_cell_length_c 2.8214
_cell_angle_alpha 90.00
_cell_angle_beta 90.00
_cell_angle_gamma 90.00
loop_
_atom_site_label
_atom_site_type_symbol
_atom_site_fract_x
_atom_site_fract_y
_atom_site_fract_z
Cr1 Cr 0.0000 0.0000 0.0000
Ag1 Ag 0.1219 0.3781 0.0000
Au1 Au 0.1770 0.6770 0.5000
```

---

(Q)
Below is a relaxed CrAg2Au2 crystal, with properties calculated at the PBE level.

Geometry as CIF:
```
data_CrAg2Au2
_space_group_name_H-M_alt 'I 4/m m m'
_space_group_IT_number 139
_space_group_name_Hall '-I 4 2'
_cell_length_a 3.8375
_cell_length_b 3.8375
_cell_length_c 13.8108
_cell_angle_alpha 90.00
_cell_angle_beta 90.00
_cell_angle_gamma 90.00
loop_
_atom_site_label
_atom_site_type_symbol
_atom_site_fract_x
_atom_site_fract_y
_atom_site_fract_z
Cr1 Cr 0.0000 0.0000 0.0000
Ag1 Ag 0.0000 0.0000 0.4039
Au1 Au 0.0000 0.5000 0.2500
```

---

Name the least stable of them. (P).